## ScCrMo2 (PBE)

Data for crystalline ScCrMo2 at its relaxed geometry.

Calculated values
SG: Cmmm (65)
Size of the total moment in μB per formula unit: 0.0
Mass density in g/cm³: 7.52
Energy relative to the elements in eV per atom: 0.184

POSCAR file:
```
ScCrMo2
1.0
1.588 -2.269 0.000
1.588 2.269 0.000
0.000 0.000 8.850
Sc Cr Mo
1 1 2
Cartesian
0.000 0.000 0.000
0.000 0.000 4.425
1.588 0.000 2.451
1.588 0.000 6.399
```